[1]
VASP calculation (PBE) on a relaxed structure of K3PbSe3.

Cell lengths 5.0496, 13.4074, 14.6537 Å; angles 90.00, 90.00, 90.00 degrees
Sites, in units of the cell vectors:
K 0.7500 0.7363 0.7888
K 0.2500 0.7637 0.2888
K 0.2500 0.2637 0.2112
K 0.7500 0.2363 0.7112
K 0.7500 0.1595 0.0073
K 0.2500 0.3405 0.5073
K 0.2500 0.8405 0.9927
K 0.7500 0.6595 0.4927
K 0.7500 0.9396 0.6044
K 0.2500 0.5604 0.1044
K 0.2500 0.0604 0.3956
K 0.7500 0.4396 0.8956
Pb 0.7500 0.9390 0.1966
Pb 0.2500 0.5610 0.6966
Pb 0.2500 0.0610 0.8034
Pb 0.7500 0.4390 0.3034
Se 0.7500 0.9754 0.8464
Se 0.2500 0.5246 0.3464
Se 0.2500 0.0246 0.1536
Se 0.7500 0.4754 0.6536
Se 0.7500 0.8943 0.3785
Se 0.2500 0.6057 0.8785
Se 0.2500 0.1057 0.6215
Se 0.7500 0.3943 0.1215
Se 0.7500 0.7529 0.1221
Se 0.2500 0.7471 0.6221
Se 0.2500 0.2471 0.8779
Se 0.7500 0.2529 0.3779

Output
symmetry: Pnma (62)
formation energy (no corrections): -926.4 meV/atom

[2]
VASP calculation (PBE) on a relaxed structure of U2TcNi4Ge3.

Cell lengths 3.8420, 3.8420, 10.6860 Å; angles 90.00, 90.00, 90.00 degrees
Last column: magnetic moment on the atom in μB.
Sites, in units of the cell vectors:
U 0.5000 0.0000 0.2587  1.66
U 0.0000 0.5000 0.7413  1.66
Tc 0.5000 0.5000 0.5000  -0.40
Ni 0.5000 0.5000 0.0000  0.14
Ni 0.0000 0.0000 0.0000  0.15
Ni 0.5000 0.0000 0.6550  -0.10
Ni 0.0000 0.5000 0.3450  -0.10
Ge 0.0000 0.0000 0.5000  -0.02
Ge 0.5000 0.0000 0.8729  0.00
Ge 0.0000 0.5000 0.1271  0.00

Output
ΔE_f: -0.28 eV per atom
symmetry: P-4m2 (115)

[3]
VASP calculation (PBE) on a relaxed structure of LaInHg2.

Cell lengths 5.3210, 5.3210, 5.3351 Å; angles 59.79, 59.79, 59.79 degrees
Sites, in units of the cell vectors:
Hg 0.9992 0.9992 0.0004
Hg 0.2495 0.2495 0.2501
In 0.5012 0.5012 0.4996
La 0.7501 0.7501 0.7499

Output
ΔE_f: -0.36 eV per atom
symmetry: Cm (8)

[4]
VASP calculation (PBE) on a relaxed structure of BaOsBr2.

Cell lengths 8.7813, 8.7813, 8.7813 Å; angles 27.60, 27.60, 27.60 degrees
Sites, in units of the cell vectors:
Os 0.5213 0.5213 0.5213
Ba 0.7588 0.7588 0.7588
Br 0.0104 0.0104 0.0104
Br 0.2096 0.2096 0.2096

Output
symmetry: R3m (160)
formation energy (no corrections): -34.5 meV/atom

[5]
VASP calculation (PBE) on a relaxed structure of Li3CdMo.

Cell lengths 5.0184, 5.0184, 5.0184 Å; angles 90.00, 90.00, 90.00 degrees
Last column: magnetic moment on the atom in μB.
Sites, in units of the cell vectors:
Mo 0.0000 0.0000 0.0000  3.28
Li 0.0000 0.5000 0.0000  0.02
Li 0.0000 0.0000 0.5000  0.01
Li 0.5000 0.0000 0.0000  0.02
Cd 0.5000 0.5000 0.5000  -0.01

Output
ΔE_f: 1.12 eV per atom
symmetry: Pm-3m (221)

[6]
VASP calculation (PBE) on a relaxed structure of ZnCuRu2.

Cell lengths 4.7220, 4.7220, 4.7220 Å; angles 133.17, 133.17, 68.38 degrees
Last column: magnetic moment on the atom in μB.
Sites, in units of the cell vectors:
Cu 0.7500 0.2500 0.5000  0.10
Ru 0.0000 0.0000 0.0000  0.96
Ru 0.5000 0.5000 0.0000  0.96
Zn 0.2500 0.7500 0.5000  0.00

Output
ΔE_f: 0.28 eV per atom
symmetry: I4/mmm (139)

[7]
VASP calculation (PBE) on a relaxed structure of AlCoCu2.

Cell lengths 4.5361, 4.5361, 4.5361 Å; angles 133.59, 133.59, 67.74 degrees
Last column: magnetic moment on the atom in μB.
Sites, in units of the cell vectors:
Co 0.7500 0.2500 0.5000  0.58
Al 0.2500 0.7500 0.5000  -0.01
Cu 0.0000 0.0000 0.0000  0.01
Cu 0.5000 0.5000 0.0000  0.01

Output
ΔE_f: -0.11 eV per atom
symmetry: I4/mmm (139)

[8]
VASP calculation (PBE) on a relaxed structure of K2GaHg4.

Cell lengths 5.3281, 5.3281, 9.7747 Å; angles 74.18, 74.18, 90.00 degrees
Sites, in units of the cell vectors:
K 0.6394 0.6394 0.7212
K 0.3606 0.3606 0.2788
Hg 0.8312 0.8312 0.3377
Hg 0.1688 0.1688 0.6623
Hg 0.0000 0.5000 0.0000
Hg 0.5000 0.0000 0.0000
Ga 0.0000 0.0000 0.0000

Output
ΔE_f: -0.13 eV per atom
symmetry: I4/mmm (139)

[9]
VASP calculation (PBE) on a relaxed structure of MgTiS2.

Cell lengths 3.4384, 3.4384, 6.8094 Å; angles 75.38, 75.38, 60.00 degrees
Sites, in units of the cell vectors:
Mg 0.4997 0.4997 0.5009
Ti 0.6665 0.6665 0.0005
S 0.0793 0.0793 0.7622
S 0.2545 0.2545 0.2364

Output
symmetry: R3m (160)
formation energy (no corrections): -1188.3 meV/atom

[10]
VASP calculation (PBE) on a relaxed structure of K3PmTh2Te6.

Cell lengths 7.8045, 7.8045, 8.8133 Å; angles 98.49, 98.49, 120.00 degrees
Sites, in units of the cell vectors:
K 0.1657 0.8343 0.5000
K 0.8343 0.1657 0.5000
K 0.5000 0.5000 0.5000
Pm 0.0000 0.0000 0.0000
Th 0.3333 0.6667 0.0000
Th 0.6667 0.3333 0.0000
Te 0.9271 0.5916 0.7812
Te 0.7374 0.7374 0.2186
Te 0.0729 0.4084 0.2188
Te 0.5916 0.9271 0.7812
Te 0.2626 0.2626 0.7814
Te 0.4084 0.0729 0.2188

Output
symmetry: C2/m (12)
formation energy (no corrections): -1253.5 meV/atom

[11]
VASP calculation (PBE) on a relaxed structure of B3TeH.

Cell lengths 3.7230, 3.7230, 3.7230 Å; angles 90.00, 90.00, 90.00 degrees
Sites, in units of the cell vectors:
H 0.0000 0.0000 0.0000
B 0.0000 0.5000 0.0000
B 0.0000 0.0000 0.5000
B 0.5000 0.0000 0.0000
Te 0.5000 0.5000 0.5000

Output
symmetry: Pm-3m (221)

[12]
VASP calculation (PBE) on a relaxed structure of CuPBr2.

Cell lengths 7.0188, 7.0188, 6.1174 Å; angles 54.99, 54.99, 90.00 degrees
Sites, in units of the cell vectors:
P 0.5000 0.5000 0.0000
P 0.2500 0.7500 0.5000
Cu 0.0000 0.0000 0.0000
Cu 0.7500 0.2500 0.5000
Br 0.6517 0.1250 0.2500
Br 0.0983 0.6250 0.2500
Br 0.3750 0.3483 0.7500
Br 0.8750 0.9017 0.7500

Output
symmetry: I-42d (122)
formation energy (no corrections): 482.4 meV/atom

Number 1: DFT total energy -3.42 eV/atom. Number 2: DFT total energy -7.27 eV/atom. Number 3: DFT total energy -2.42 eV/atom. Number 4: DFT total energy -4.16 eV/atom. Number 5: DFT total energy -2.38 eV/atom. Number 6: DFT total energy -5.70 eV/atom. Number 7: DFT total energy -4.87 eV/atom. Number 8: DFT total energy -1.05 eV/atom. Number 9: DFT total energy -5.62 eV/atom. Number 10: DFT total energy -4.73 eV/atom. Number 11: DFT total energy -3.32 eV/atom. Number 12: DFT total energy -2.73 eV/atom.